Entry 1:
DFT (PBE) results for an optimized crystal structure of Pm5Sm12Sc2.

Calculated values
* theoretical density: 6.79 Mg/m³
* energy relative to the elements: 0.15 eV per atom
* VASP energy: -4.75 eV per atom

Lattice parameters (Å, degrees): 11.7265 11.7265 8.7374 110.68 110.68 35.01
With the nearest neighbours (Å) after each atom.
Fractional coordinates of all 19 atoms:
Pm  0.0000  0.0000  0.0000  4 Sm 3.42
Pm  0.2479  0.2479  0.9869  9 Sm 3.49-3.82, 3 Pm 3.53-3.55
Pm  0.3531  0.3531  0.4074  9 Sm 3.34-3.74, 2 Sc 3.50, 1 Pm 3.55
Pm  0.6469  0.6469  0.5926  9 Sm 3.34-3.74, 2 Sc 3.50, 1 Pm 3.55
Pm  0.7521  0.7521  0.0131  9 Sm 3.49-3.82, 3 Pm 3.53-3.55
Sm  0.0492  0.5435  0.7069  7 Sm 3.44-3.81, 4 Pm 3.49-3.74
Sm  0.1335  0.1335  0.5357  2 Sc 3.44, 6 Sm 3.55-3.81, 3 Pm 3.56-3.82
Sm  0.1525  0.6398  0.1231  1 Sc 3.25, 4 Pm 3.42-3.53, 3 Sm 3.44-3.62
Sm  0.3602  0.8475  0.8769  1 Sc 3.25, 4 Pm 3.42-3.53, 3 Sm 3.44-3.62
Sm  0.4510  0.4510  0.8029  5 Sm 3.33-3.68, 1 Pm 3.34, 2 Sc 3.62
Sm  0.4565  0.9508  0.2931  7 Sm 3.44-3.81, 4 Pm 3.49-3.74
Sm  0.5435  0.0492  0.7069  7 Sm 3.44-3.81, 4 Pm 3.49-3.74
Sm  0.5490  0.5490  0.1971  5 Sm 3.33-3.68, 1 Pm 3.34, 2 Sc 3.62
Sm  0.6398  0.1525  0.1231  1 Sc 3.25, 4 Pm 3.42-3.53, 3 Sm 3.44-3.62
Sm  0.8475  0.3602  0.8769  1 Sc 3.25, 4 Pm 3.42-3.53, 3 Sm 3.44-3.62
Sm  0.8665  0.8665  0.4643  2 Sc 3.44, 6 Sm 3.55-3.81, 3 Pm 3.56-3.82
Sm  0.9508  0.4565  0.2931  7 Sm 3.44-3.81, 4 Pm 3.49-3.74
Sc  0.2650  0.7350  0.5000  6 Sm 3.25-3.62, 1 Sc 3.32, 2 Pm 3.50
Sc  0.7350  0.2650  0.5000  6 Sm 3.25-3.62, 1 Sc 3.32, 2 Pm 3.50


Entry 2:
DFT (PBE) results for an optimized crystal structure of CoReAs2.

Calculated values
* theoretical density: 10.71 Mg/m³
* energy relative to the elements: 0.56 eV per atom
* VASP energy: -6.66 eV per atom

Lattice parameters (Å, degrees): 3.0620 4.0836 4.9075 90.00 93.63 90.00
With the nearest neighbours (Å) after each atom.
Fractional coordinates of all 4 atoms:
Co  0.0000  0.0000  0.0000  4 As 2.48
Re  0.5000  0.0000  0.5000  4 As 2.50
As  0.3163  0.5000  0.2216  2 Co 2.48, 2 Re 2.50, 1 As 2.51
As  0.6837  0.5000  0.7784  2 Co 2.48, 2 Re 2.50, 1 As 2.51


Entry 3:
DFT (PBE) results for an optimized crystal structure of Na2Si2Pt.

Calculated values
* theoretical density: 4.77 Mg/m³
* VASP energy: -4.10 eV per atom
* energy relative to the elements, uncorrected: -19.3 kJ per mole of atoms

Lattice parameters (Å, degrees): 7.7860 7.7860 5.6339 90.00 90.00 142.70
With the nearest neighbours (Å) after each atom.
Fractional coordinates of all 10 atoms:
Na  0.0749  0.9251  0.7500  6 Si 3.04-3.13, 4 Pt 3.07, 2 Na 3.09
Na  0.3013  0.6987  0.2500  6 Si 3.05-3.33, 2 Na 3.09, 2 Pt 3.25
Na  0.6987  0.3013  0.7500  6 Si 3.05-3.33, 2 Na 3.09, 2 Pt 3.25
Na  0.9251  0.0749  0.2500  6 Si 3.04-3.13, 4 Pt 3.07, 2 Na 3.09
Si  0.1382  0.3638  0.7500  2 Si 2.48-2.50, 2 Pt 2.51
Si  0.3638  0.1382  0.2500  2 Si 2.48-2.50, 2 Pt 2.51
Si  0.6362  0.8618  0.7500  2 Si 2.48-2.50, 2 Pt 2.51
Si  0.8618  0.6362  0.2500  2 Si 2.48-2.50, 2 Pt 2.51
Pt  0.5000  0.5000  0.0000  4 Si 2.51
Pt  0.5000  0.5000  0.5000  4 Si 2.51


Entry 4:
DFT (PBE) results for an optimized crystal structure of Sm4PuBi5.

Calculated values
* theoretical density: 9.39 Mg/m³
* energy relative to the elements: -0.80 eV per atom
* VASP energy: -6.06 eV per atom

Lattice parameters (Å, degrees): 16.4072 16.4072 16.4072 164.03 164.03 22.66
With the nearest neighbours (Å) after each atom.
Fractional coordinates of all 10 atoms:
Sm  0.1005  0.1005  0.0000  6 Bi 3.21-3.23
Sm  0.3000  0.3000  0.0000  6 Bi 3.22-3.23
Sm  0.7000  0.7000  0.0000  6 Bi 3.22-3.23
Sm  0.8995  0.8995  0.0000  6 Bi 3.21-3.23
Pu  0.5000  0.5000  0.0000  6 Bi 3.21-3.22
Bi  0.0000  0.0000  0.0000  4 Pu 3.22, 2 Sm 3.23
Bi  0.2001  0.2001  0.0000  6 Sm 3.21-3.22
Bi  0.4003  0.4003  0.0000  1 Pu 3.21, 5 Sm 3.22-3.23
Bi  0.5997  0.5997  0.0000  1 Pu 3.21, 5 Sm 3.22-3.23
Bi  0.7999  0.7999  0.0000  6 Sm 3.21-3.22


Entry 5:
DFT (PBE) results for an optimized crystal structure of Dy2TiSe4.

Calculated values
* theoretical density: 6.41 Mg/m³
* VASP energy: -5.99 eV per atom
* energy relative to the elements, uncorrected: -150.3 kJ per mole of atoms

Lattice parameters (Å, degrees): 14.2787 3.9814 7.1744 90.00 119.03 90.00
With the nearest neighbours (Å) after each atom.
Fractional coordinates of all 14 atoms:
Dy  0.2316  0.0000  0.2195  6 Se 2.81-2.92
Dy  0.2684  0.5000  0.7805  6 Se 2.81-2.92
Dy  0.7316  0.5000  0.2195  6 Se 2.81-2.92
Dy  0.7684  0.0000  0.7805  6 Se 2.81-2.92
Ti  0.0000  0.5000  0.5000  6 Se 2.65-2.73
Ti  0.5000  0.0000  0.5000  6 Se 2.65-2.73
Se  0.1119  0.5000  0.9217  1 Ti 2.65, 3 Dy 2.81-2.87
Se  0.1250  0.0000  0.4783  2 Ti 2.73, 3 Dy 2.92
Se  0.3750  0.5000  0.5217  2 Ti 2.73, 3 Dy 2.92
Se  0.3881  0.0000  0.0783  1 Ti 2.65, 3 Dy 2.81-2.87
Se  0.6119  0.0000  0.9217  1 Ti 2.65, 3 Dy 2.81-2.87
Se  0.6250  0.5000  0.4783  2 Ti 2.73, 3 Dy 2.92
Se  0.8750  0.0000  0.5217  2 Ti 2.73, 3 Dy 2.92
Se  0.8881  0.5000  0.0783  1 Ti 2.65, 3 Dy 2.81-2.87


Entry 6:
DFT (PBE) results for an optimized crystal structure of Tl2ReAg.

Calculated values
* theoretical density: 14.15 Mg/m³
* energy relative to the elements: 0.91 eV per atom
* VASP energy: -4.09 eV per atom

Lattice parameters (Å, degrees): 2.9626 4.7636 5.8469 90.00 91.31 90.00
With the nearest neighbours (Å) after each atom.
Fractional coordinates of all 4 atoms:
Tl  0.2371  0.0000  0.2431  2 Re 2.89, 2 Ag 2.91, 3 Tl 2.96-3.14
Tl  0.7629  0.0000  0.7569  2 Re 2.89, 2 Ag 2.91, 3 Tl 2.96-3.14
Re  0.5000  0.5000  0.0000  4 Tl 2.89, 2 Re 2.96
Ag  0.0000  0.5000  0.5000  4 Tl 2.91, 2 Ag 2.96, 2 Re 3.25


Entry 7:
DFT (PBE) results for an optimized crystal structure of Rb2CaCd2.

Calculated values
* theoretical density: 3.31 Mg/m³
* energy relative to the elements: 0.17 eV per atom
* VASP energy: -0.98 eV per atom

Lattice parameters (Å, degrees): 10.6033 10.6033 3.8881 90.00 90.00 90.00
With the nearest neighbours (Å) after each atom.
Fractional coordinates of all 10 atoms:
Rb  0.1305  0.3695  0.0000  6 Cd 3.56-3.76, 3 Rb 3.89-3.91
Rb  0.3695  0.8695  0.0000  6 Cd 3.56-3.76, 3 Rb 3.89-3.91
Rb  0.6305  0.1305  0.0000  6 Cd 3.56-3.76, 3 Rb 3.89-3.91
Rb  0.8695  0.6305  0.0000  6 Cd 3.56-3.76, 3 Rb 3.89-3.91
Ca  0.0000  0.0000  0.0000  2 Ca 3.89, 4 Rb 4.16
Ca  0.5000  0.5000  0.0000  2 Ca 3.89, 4 Rb 4.16
Cd  0.1707  0.6707  0.5000  6 Rb 3.56-3.76, 2 Cd 3.89
Cd  0.3293  0.1707  0.5000  6 Rb 3.56-3.76, 2 Cd 3.89
Cd  0.6707  0.8293  0.5000  6 Rb 3.56-3.76, 2 Cd 3.89
Cd  0.8293  0.3293  0.5000  6 Rb 3.56-3.76, 2 Cd 3.89


Entry 8:
DFT (PBE) results for an optimized crystal structure of LiRuN2O.

Calculated values
* theoretical density: 4.37 Mg/m³
* VASP energy: -6.32 eV per atom
* energy relative to the elements, uncorrected: 23.0 kJ per mole of atoms

Lattice parameters (Å, degrees): 3.7814 3.7814 4.0406 90.00 90.00 90.00
With the nearest neighbours (Å) after each atom.
Fractional coordinates of all 5 atoms:
Li  0.0000  0.0000  0.0000  4 O 2.67, 8 N 2.77
Ru  0.5000  0.5000  0.5000  4 N 1.89, 2 O 2.02
N  0.0000  0.5000  0.5000  2 Ru 1.89
N  0.5000  0.0000  0.5000  2 Ru 1.89
O  0.5000  0.5000  0.0000  2 Ru 2.02


Entry 9:
DFT (PBE) results for an optimized crystal structure of TbSmHoSn.

Calculated values
* theoretical density: 8.64 Mg/m³
* energy relative to the elements: -0.25 eV per atom
* VASP energy: -4.73 eV per atom

Lattice parameters (Å, degrees): 7.6960 7.6960 7.6960 90.00 90.00 90.00
With the nearest neighbours (Å) after each atom.
Fractional coordinates of all 16 atoms:
Tb  0.0000  0.0000  0.0000  4 Sn 3.33, 4 Ho 3.33
Tb  0.0000  0.5000  0.5000  4 Sn 3.33, 4 Ho 3.33
Tb  0.5000  0.0000  0.5000  4 Sn 3.33, 4 Ho 3.33
Tb  0.5000  0.5000  0.0000  4 Sn 3.33, 4 Ho 3.33
Sm  0.0000  0.0000  0.5000  4 Ho 3.33, 4 Sn 3.33
Sm  0.0000  0.5000  0.0000  4 Ho 3.33, 4 Sn 3.33
Sm  0.5000  0.0000  0.0000  4 Ho 3.33, 4 Sn 3.33
Sm  0.5000  0.5000  0.5000  4 Ho 3.33, 4 Sn 3.33
Ho  0.2500  0.2500  0.7500  4 Tb 3.33, 4 Sm 3.33
Ho  0.2500  0.7500  0.2500  4 Tb 3.33, 4 Sm 3.33
Ho  0.7500  0.2500  0.2500  4 Tb 3.33, 4 Sm 3.33
Ho  0.7500  0.7500  0.7500  4 Tb 3.33, 4 Sm 3.33
Sn  0.2500  0.2500  0.2500  4 Sm 3.33, 4 Tb 3.33
Sn  0.2500  0.7500  0.7500  4 Tb 3.33, 4 Sm 3.33
Sn  0.7500  0.2500  0.7500  4 Tb 3.33, 4 Sm 3.33
Sn  0.7500  0.7500  0.2500  4 Tb 3.33, 4 Sm 3.33


Entry 10:
DFT (PBE) results for an optimized crystal structure of ErZnNi3Ge.

Calculated values
* theoretical density: 8.51 Mg/m³
* energy relative to the elements: -0.26 eV per atom
* VASP energy: -4.90 eV per atom

Lattice parameters (Å, degrees): 6.5043 6.5043 5.3739 90.00 90.00 124.30
With the nearest neighbours (Å) after each atom.
Fractional coordinates of all 12 atoms:
Er  0.2052  0.7948  0.7500  1 Zn 2.76, 2 Ge 2.79, 6 Ni 2.97-3.09
Er  0.7948  0.2052  0.2500  1 Zn 2.76, 2 Ge 2.79, 6 Ni 2.97-3.09
Zn  0.4453  0.5547  0.7500  5 Ni 2.36-2.44
Zn  0.5547  0.4453  0.2500  5 Ni 2.36-2.44
Ni  0.1986  0.1986  0.0000  2 Zn 2.36, 2 Ge 2.41, 1 Ni 2.41
Ni  0.1986  0.1986  0.5000  2 Zn 2.36, 2 Ge 2.41, 1 Ni 2.41
Ni  0.3424  0.6576  0.2500  1 Ge 2.35, 1 Zn 2.44
Ni  0.6576  0.3424  0.7500  1 Ge 2.35, 1 Zn 2.44
Ni  0.8014  0.8014  0.0000  2 Zn 2.36, 2 Ge 2.41, 1 Ni 2.41
Ni  0.8014  0.8014  0.5000  2 Zn 2.36, 2 Ge 2.41, 1 Ni 2.41
Ge  0.1384  0.8616  0.2500  5 Ni 2.35-2.41
Ge  0.8616  0.1384  0.7500  5 Ni 2.35-2.41


Entry 11:
DFT (PBE) results for an optimized crystal structure of Pm2Tm3Pb4.

Calculated values
* theoretical density: 10.03 Mg/m³
* energy relative to the elements: -0.41 eV per atom
* VASP energy: -4.60 eV per atom

Lattice parameters (Å, degrees): 8.8450 8.8450 6.7587 102.14 102.14 31.45
With the nearest neighbours (Å) after each atom.
Fractional coordinates of all 9 atoms:
Pm  0.1673  0.1673  0.0811  5 Pb 3.17-3.37
Pm  0.8327  0.8327  0.9189  5 Pb 3.17-3.37
Tm  0.3925  0.3925  0.4303  7 Pb 3.24-3.36, 1 Tm 3.57
Tm  0.5000  0.5000  0.0000  4 Pb 3.04
Tm  0.6075  0.6075  0.5697  7 Pb 3.24-3.36, 1 Tm 3.57
Pb  0.0044  0.0044  0.2795  1 Pb 3.02, 6 Tm 3.04-3.36, 2 Pm 3.33-3.37
Pb  0.2386  0.2386  0.6657  3 Pm 3.17-3.29, 3 Tm 3.24-3.35, 2 Pb 3.36
Pb  0.7614  0.7614  0.3343  3 Pm 3.17-3.29, 3 Tm 3.24-3.35, 2 Pb 3.36
Pb  0.9956  0.9956  0.7205  1 Pb 3.02, 6 Tm 3.04-3.36, 2 Pm 3.33-3.37